Entry 1:
VASP calculation (GGA-PBEsol) on CoOsSe2 after structural relaxation.

## Properties
**Fermi-level density of states**: 6.99 states/eV per cell
**Total magnetization**: 1.6 μB/f.u.
**ρ**: 8.94 Mg/m³
**Formation energy from raw total energies**: 0.147 eV per atom

a = 3.4264 Å, b = 3.7737 Å, c = 11.6904 Å
α = 90.00°, β = 90.00°, γ = 90.00°
Space group Immm (No. 71)
Asymmetric unit:
Co 0.0000 0.0000 0.0000
Os 0.0000 0.0000 0.5000
Se 0.0000 0.5000 0.3608

=====

Entry 2:
VASP calculation (GGA-PBEsol) on Be2AsCl after structural relaxation.

## Properties
**Fermi-level density of states**: 2.19 states/eV per cell
**Total magnetization**: 0.0 μB/f.u.
**ρ**: 3.43 Mg/m³
**Formation energy from raw total energies**: 0.220 eV per atom

a = 3.3685 Å, b = 5.7028 Å, c = 6.4805 Å
α = 90.00°, β = 90.00°, γ = 90.00°
Space group Cmmm (No. 65)
Asymmetric unit:
Be 0.0000 0.0000 0.2204
As 0.0000 0.5000 0.0000
Cl 0.0000 0.5000 0.5000

=====

Entry 3:
VASP calculation (GGA-PBEsol) on TeHF3 after structural relaxation.

## Properties
**Fermi-level density of states**: 1.99 states/eV per cell
**Total magnetization**: 0.9 μB/f.u.
**Energy**: -3.37 eV/atom
**ρ**: 3.58 Mg/m³

a = 4.4176 Å, b = 4.4176 Å, c = 4.4176 Å
α = 90.00°, β = 90.00°, γ = 90.00°
Space group Pm-3m (No. 221)
Asymmetric unit:
Te 0.0000 0.0000 0.0000
H 0.5000 0.5000 0.5000
F 0.0000 0.0000 0.5000

=====

Entry 4:
VASP calculation (GGA-PBEsol) on Zr2Ni2Sn after structural relaxation.

## Properties
**Fermi-level density of states**: 12.45 states/eV per cell
**Total magnetization**: 0.0 μB/f.u.
**Energy of formation**: -629 meV/atom
**ρ**: 8.36 Mg/m³

a = 7.0181 Å, b = 7.0181 Å, c = 6.7514 Å
α = 90.00°, β = 90.00°, γ = 90.00°
Space group P4_2/mnm (No. 136)
Asymmetric unit:
Zr 0.1544 0.1544 0.0000
Zr 0.1835 0.1835 0.5000
Ni 0.1258 0.8742 0.2863
Sn 0.0000 0.5000 0.2500

=====

Entry 5:
VASP calculation (GGA-PBEsol) on CaMgAl4 after structural relaxation.

## Properties
**Fermi-level density of states**: 11.24 states/eV per cell
**Total magnetization**: 0.0 μB/f.u.
**Energy of formation**: -153 meV/atom
**ρ**: 2.40 Mg/m³

a = 7.8085 Å, b = 7.8085 Å, c = 7.8085 Å
α = 90.00°, β = 90.00°, γ = 90.00°
Space group F-43m (No. 216)
Asymmetric unit:
Ca 0.0000 0.0000 0.0000
Mg 0.2500 0.2500 0.2500
Al 0.1250 0.1250 0.6250

=====

Entry 6:
VASP calculation (GGA-PBEsol) on LiSiPb2 after structural relaxation.

## Properties
**Fermi-level density of states**: 1.73 states/eV per cell
**Total magnetization**: 0.0 μB/f.u.
**ρ**: 8.13 Mg/m³
**Formation energy from raw total energies**: 0.106 eV per atom

a = 3.7674 Å, b = 3.7674 Å, c = 6.4691 Å
α = 90.00°, β = 90.00°, γ = 90.00°
Space group P4/mmm (No. 123)
Asymmetric unit:
Li 0.0000 0.0000 0.0000
Si 0.0000 0.0000 0.5000
Pb 0.5000 0.5000 0.2615